[1]
Density functional theory data (PBE-GGA) for Mn2FeMo after structural relaxation.

abc: 8.590 2.594 4.463
angles: 90.00 100.36 90.00
Space group Cm (No. 8)
Inequivalent atoms, fractional coordinates:
Mn1 0.000 0.000 0.000
Mn2 0.244 0.500 0.222
Fe1 0.264 0.000 0.769
Mo1 0.006 0.500 0.506

Summary:
M_tot = 1.1 μB/cell
DFT total energy = -9.22 eV per atom

=====

[2]
Density functional theory data (PBE-GGA) for MnFeMo3 after structural relaxation.

abc: 4.390 4.390 4.390
angles: 90.00 90.00 90.00
Space group Pm-3m (No. 221)
Inequivalent atoms, fractional coordinates:
Mn1 0.000 0.000 0.000
Fe1 0.500 0.500 0.500
Mo1 0.000 0.000 0.500

Summary:
M_tot = 0.0 μB/cell
DFT total energy = -8.60 eV per atom

=====

[3]
Density functional theory data (PBE-GGA) for MnFe2Mo after structural relaxation.

abc: 3.009 4.105 8.173
angles: 90.00 90.00 90.00
Space group Cmmm (No. 65)
Inequivalent atoms, fractional coordinates:
Mn1 0.000 0.000 0.000
Fe1 0.000 0.500 0.236
Mo1 0.000 0.000 0.500

Summary:
M_tot = 11.0 μB/cell
DFT total energy = -9.06 eV per atom

=====

[4]
Density functional theory data (PBE-GGA) for MnFe2Mo after structural relaxation.

abc: 3.026 4.010 8.328
angles: 90.00 90.00 90.00
Space group Immm (No. 71)
Inequivalent atoms, fractional coordinates:
Mn1 0.000 0.000 0.000
Fe1 0.000 0.500 0.251
Mo1 0.000 0.000 0.500

Summary:
M_tot = 11.4 μB/cell
DFT total energy = -9.17 eV per atom

=====

[5]
Density functional theory data (PBE-GGA) for MnFe2Mo after structural relaxation.

abc: 2.964 2.964 5.731
angles: 90.00 90.00 90.00
Space group P4mm (No. 99)
Inequivalent atoms, fractional coordinates:
Mn1 0.000 0.000 0.000
Fe1 0.000 0.000 0.518
Fe2 0.500 0.500 0.752
Mo1 0.500 0.500 0.251

Summary:
M_tot = 5.4 μB/cell
DFT total energy = -9.15 eV per atom

=====

[6]
Density functional theory data (PBE-GGA) for Mn2Fe2Mo after structural relaxation.

abc: 6.783 6.783 2.537
angles: 90.00 90.00 90.00
Space group P4/mbm (No. 127)
Inequivalent atoms, fractional coordinates:
Mn1 0.122 0.378 0.000
Fe1 0.171 0.671 0.500
Mo1 0.000 0.000 0.000

Summary:
M_tot = 0.0 μB/cell
DFT total energy = -9.09 eV per atom